# Y6FeSi2S14 | the Alexandria database | GGA-PBEsol | optimized geometry
# E_tot = -6.967 eV/atom
# Uncorrected formation energy = -157.2 kJ/mol of atoms
data_Y6FeSi2S14
_chemical_formula_sum 'Y6 Fe1 Si2 S14'
_cell_length_a 9.6634
_cell_length_b 9.6634
_cell_length_c 5.5737
_cell_angle_alpha 90.00
_cell_angle_beta 90.00
_cell_angle_gamma 120.00
_space_group_name_H-M_alt 'P 3'
_space_group_IT_number 143
_space_group_name_Hall 'P 3'
loop_
_atom_site_label
_atom_site_type_symbol
_atom_site_fract_x
_atom_site_fract_y
_atom_site_fract_z
_atom_site_occupancy
Y1 Y 0.0225 0.4626 0.0000 1
Y2 Y 0.3125 0.2039 0.4929 1
Fe1 Fe 0.6667 0.3333 0.2187 1
Si1 Si 0.0000 0.0000 0.0836 1
Si2 Si 0.3333 0.6667 0.5783 1
S1 S 0.0000 0.0000 0.7078 1
S2 S 0.0863 0.2317 0.2323 1
S3 S 0.1850 0.7504 0.7269 1
S4 S 0.3333 0.6667 0.2027 1
S5 S 0.4285 0.2485 0.9986 1
S6 S 0.5195 0.0978 0.4520 1